A geometry-optimized AlZn4Cd2 structure, computed with GGA-PBE.

Lattice parameters (Å, degrees): 7.6629 7.6629 7.6629 142.63 142.63 53.87
Atoms (fractional coordinates):
Al  0.0000  0.0000  0.0000
Zn  0.0000  0.5000  0.5000
Zn  0.1871  0.1871  0.0000
Zn  0.5000  0.0000  0.5000
Zn  0.8129  0.8129  0.0000
Cd  0.3789  0.3789  0.0000
Cd  0.6211  0.6211  0.0000

Results
- Formation energy from the elements: 0.339 eV per atom
- Magnetic moment: 0.00 Bohr magnetons per cell
- E_tot: -8.30 eV per cell